Entry from Alexandria via LeMat-Bulk: a relaxed Pm2Cu15Si2 crystal (GGA-PBE). Values from VASP.

Cell and atoms, written as Quantum ESPRESSO input:
```
&SYSTEM
  ibrav = 0, nat = 19, ntyp = 3
/
ATOMIC_SPECIES
Pm 145.00 Pm.upf
Cu 63.55 Cu.upf
Si 28.09 Si.upf
CELL_PARAMETERS angstrom
4.320 2.494 4.175
-4.320 2.494 4.175
0.000 -4.988 4.175
ATOMIC_POSITIONS angstrom
Pm 0.000 0.000 1.956
Pm 0.000 0.000 10.567
Cu -2.160 -1.247 4.175
Cu 0.000 -2.469 4.036
Cu -2.138 1.234 4.036
Cu -1.293 -2.239 6.262
Cu -2.586 0.000 6.262
Cu -2.138 -1.234 8.488
Cu -2.160 1.247 8.349
Cu 1.293 -2.239 6.262
Cu 0.000 2.494 4.175
Cu -1.293 2.239 6.262
Cu 2.138 1.234 4.036
Cu 2.586 0.000 6.262
Cu 1.293 2.239 6.262
Cu 2.138 -1.234 8.488
Cu 0.000 2.469 8.488
Si 0.000 0.000 5.053
Si 0.000 0.000 7.471
```

Calculated values
The theoretical density comes out at 7995 kg/m3. Its formation energy from raw total energies is -0.127 eV per atom.